The following is a GGA-PBE calculation of an optimized crystal structure of SiHg3I, from the Alexandria database.

Lattice parameters (Å, degrees): 6.2790 6.2790 6.2790 90.00 90.00 90.00
Each line ends with the local moment (μB).
Sites, in units of the cell vectors:
I1 0.0000 0.0000 0.0000  -0.06
Si1 0.5000 0.5000 0.5000  0.54
Hg1 0.0000 0.5000 0.0000  -0.05
Hg2 0.0000 0.0000 0.5000  0.01
Hg3 0.5000 0.0000 0.0000  -0.03

Summary:
- E_tot (eV for the cell shown) = -3.0
- formation energy without anion corrections (eV per atom) = 0.981
- DOS(E_F) (states/eV/cell) = 4.65
- calculated density (g/cm3) = 5.08